## La7Nd3Er (PBE-GGA)

Data for a relaxed La7Nd3Er crystal.

Unit cell a=8.708 b=8.708 c=6.089 alpha=110.33 beta=110.33 gamma=83.09
Element x y z (fractional)
La1 0.000 0.000 0.000
La2 0.096 0.513 0.304
La3 0.289 0.289 0.789
La4 0.487 0.904 0.696
La5 0.513 0.096 0.304
La6 0.711 0.711 0.211
La7 0.904 0.487 0.696
Nd1 0.292 0.708 0.000
Nd2 0.500 0.500 0.500
Nd3 0.708 0.292 0.000
Er1 0.000 0.000 0.500

calculated density	6.43	g cm⁻³
ΔH_f (0 K)	207.5	meV/atom